Entry from Alexandria via LeMat-Bulk: an optimized crystal structure of PmCd4Ag (PBE).

The space group is C2/m (No. 12) and the conventional cell measures 9.055, 4.942 and 6.421 Å, with angles of 90.00, 101.37 and 90.00 degrees. The distinct sites, in fractional coordinates, are Pm at (0.000, 0.000, 0.000), Cd at (0.130, 0.500, 0.737), Cd at (0.194, 0.500, 0.267) and Ag at (0.000, 0.000, 0.500).

Its uncorrected energy is -24.925 eV for the cell shown. The formation energy is -19 kJ/mol of atoms. The energy above the most stable polymorph in this dataset is 1 meV/atom.


Entry from Alexandria via LeMat-Bulk: an optimized crystal structure of MgPaAlCd (PBE).

The space group is F-43m (No. 216) and the conventional cell measures 7.110, 7.110 and 7.110 Å, with angles of 90.00, 90.00 and 90.00 degrees. The distinct sites, in fractional coordinates, are Mg at (0.000, 0.000, 0.000), Pa at (0.000, 0.000, 0.500), Al at (0.250, 0.250, 0.250) and Cd at (0.250, 0.250, 0.750).

Its uncorrected energy is -61.683 eV for the cell shown. The formation energy is 8 kJ/mol of atoms.